VASP calculation (PBE) on ReTcSe after structural relaxation.

```
ReTcSe
1.0
-7.274 0.818 0.475
-6.789 -1.912 0.798
-0.455 1.452 2.340
Tc Re Se
1 1 1
Direct
0.659 0.659 0.341
0.010 0.010 0.990
0.331 0.331 0.669
```

Results
N(E_F)   3.28 states/eV/f.u.
Excess energy over the best structure of this formula in the dataset   453 meV/atom
E_form (uncorrected)   0.63 eV/atom
Space group   Fmm2
M_tot   0.0 Bohr magnetons per cell


VASP calculation (PBE) on MgNbCuBr2 after structural relaxation.

```
MgNbCuBr2
1.0
4.997 0.000 0.000
0.000 5.146 0.000
0.000 0.000 4.997
Mg Br Nb Cu
1 2 1 1
Direct
0.500 0.500 0.500
0.500 0.000 0.000
0.000 0.000 0.500
0.000 0.500 0.000
0.000 0.000 0.000
```

Results
N(E_F)   5.20 states/eV/f.u.
E_form (uncorrected)   0.69 eV/atom
Space group   P4/mmm
M_tot   2.9 Bohr magnetons per cell